[1]
Below is AlPbS2 at its PBEsol-relaxed geometry, with properties calculated at the SCAN level.

Cell: 3.478 3.478 8.473 Å, 78.16 78.16 60.00°
Sites, in units of the cell vectors:
Pb: 0.000 0.000 0.000
S: 0.886 0.886 0.342
S: 0.114 0.114 0.658
Al: 0.500 0.500 0.500

Computed properties:
**V**: 21.6 A^3/atom
**Density of states at the Fermi level**: 0.317 states/eV per atom
**E_form (uncorrected)**: -3.5 eV per formula unit

***

[2]
Below is DyCdRh2 at its PBEsol-relaxed geometry, with properties calculated at the SCAN level.

Cell: 4.602 4.602 4.602 Å, 60.00 60.00 60.00°
Sites, in units of the cell vectors:
Dy: 0.000 0.000 0.000
Rh: 0.750 0.750 0.750
Rh: 0.250 0.250 0.250
Cd: 0.500 0.500 0.500

Computed properties:
**V**: 17.2 A^3/atom
**Density of states at the Fermi level**: 0.589 states/eV per atom
**E**: -37.0736 eV/atom